1.
Compound: Dy4HoZn
Source: Alexandria via LeMat-Bulk
Functional: PBE
Structure: relaxed

- ΔH_f (0 K): 0.003 eV/atom
- Distance to the lowest polymorph of the same formula: 0.103 eV per atom
- Total energy: -48.5 eV/cell
- Crystal system: monoclinic

Unit cell a=6.2067 b=8.9739 c=8.0429 alpha=114.29 beta=100.02 gamma=112.31
Last column: nearest neighbours and their distance in Å.
Positions (direct):
Dy (0.2336, 0.6094, 0.7727)  2 Zn 3.17, 3 Dy 3.29-3.53, 2 Ho 3.37-3.49
Dy (0.6280, 0.0798, 0.3657)  2 Zn 3.03-3.04, 3 Dy 3.29-3.38
Dy (0.7623, 0.7141, 0.6343)  2 Zn 3.03-3.04, 3 Dy 3.29-3.38
Dy (0.2377, 0.2859, 0.3657)  2 Zn 3.03-3.04, 3 Dy 3.29-3.38
Dy (0.9609, 0.8367, 0.2273)  2 Zn 3.17, 3 Dy 3.29-3.53, 2 Ho 3.37-3.49
Dy (0.0391, 0.1633, 0.7727)  2 Zn 3.17, 3 Dy 3.29-3.53, 2 Ho 3.37-3.49
Dy (0.3720, 0.9202, 0.6343)  2 Zn 3.03-3.04, 3 Dy 3.29-3.38
Dy (0.7664, 0.3906, 0.2273)  2 Zn 3.17, 3 Dy 3.29-3.53, 2 Ho 3.37-3.49
Zn (0.2500, 0.0000, 0.9999)  8 Dy 3.03-3.17, 2 Zn 3.10
Zn (0.7500, 0.0000, 0.0001)  8 Dy 3.03-3.17, 2 Zn 3.10
Ho (0.6553, 0.4053, 0.8106)  10 Dy 3.37-3.76
Ho (0.3447, 0.5947, 0.1894)  10 Dy 3.37-3.76

---

2.
Compound: DyHo2Zn2
Source: Alexandria via LeMat-Bulk
Functional: PBE
Structure: relaxed

- ΔH_f (0 K): -0.271 eV/atom
- Distance to the lowest polymorph of the same formula: 0.000 eV per atom
- Total energy: -35.3 eV/cell
- Crystal system: monoclinic

Unit cell a=3.5893 b=5.1332 c=13.2658 alpha=90.00 beta=97.79 gamma=90.00
Last column: nearest neighbours and their distance in Å.
Positions (direct):
Zn (0.5487, 0.2500, 0.0977)  2 Dy 3.07, 6 Ho 3.07-3.13
Zn (0.6399, 0.7500, 0.2796)  4 Ho 3.02-3.05, 4 Dy 3.13
Zn (0.3601, 0.2500, 0.7204)  4 Ho 3.02-3.05, 4 Dy 3.13
Zn (0.4513, 0.7500, 0.9023)  2 Dy 3.07, 6 Ho 3.07-3.13
Ho (0.0462, 0.7500, 0.0921)  8 Zn 3.05-3.13
Ho (0.7680, 0.2500, 0.5351)  2 Zn 3.02-3.03, 4 Ho 3.26-3.27
Ho (0.9538, 0.2500, 0.9079)  8 Zn 3.05-3.13
Ho (0.2320, 0.7500, 0.4649)  2 Zn 3.02-3.03, 4 Ho 3.26-3.27
Dy (0.1445, 0.2500, 0.2875)  6 Zn 3.07-3.13
Dy (0.8555, 0.7500, 0.7125)  6 Zn 3.07-3.13

---

3.
Compound: DyHoZn
Source: Alexandria via LeMat-Bulk
Functional: PBE
Structure: relaxed

- ΔH_f (0 K): -0.213 eV/atom
- Distance to the lowest polymorph of the same formula: 0.000 eV per atom
- Total energy: -11.1 eV/cell
- Crystal system: tetragonal

Unit cell a=3.5654 b=3.5654 c=6.5630 alpha=105.76 beta=105.76 gamma=90.00
Last column: nearest neighbours and their distance in Å.
Positions (direct):
Ho (0.3105, 0.3105, 0.6210)  4 Zn 3.06
Dy (0.0219, 0.0219, 0.0439)  4 Zn 3.08
Zn (0.6676, 0.6676, 0.3351)  4 Ho 3.06, 4 Dy 3.08

---

4.
Compound: Dy2Ho6Zn
Source: Alexandria via LeMat-Bulk
Functional: PBE
Structure: relaxed

- ΔH_f (0 K): 0.079 eV/atom
- Total energy: -37.2 eV/cell
- Crystal system: orthorhombic

Unit cell a=3.5190 b=9.1833 c=9.6763 alpha=118.33 beta=90.00 gamma=90.00
Last column: nearest neighbours and their distance in Å.
Positions (direct):
Ho (0.5000, 0.2863, 0.0000)  2 Zn 3.16, 6 Ho 3.41-3.52
Ho (0.5000, 0.7137, 0.0000)  2 Zn 3.16, 6 Ho 3.41-3.52
Ho (0.9998, 0.0147, 0.6789)  1 Zn 3.17, 6 Ho 3.22-3.52, 2 Dy 3.48
Ho (0.0002, 0.3358, 0.3211)  1 Zn 3.17, 6 Ho 3.22-3.52, 2 Dy 3.48
Ho (0.9998, 0.6642, 0.6789)  1 Zn 3.17, 6 Ho 3.22-3.52, 2 Dy 3.48
Ho (0.0002, 0.9853, 0.3211)  1 Zn 3.17, 6 Ho 3.22-3.52, 2 Dy 3.48
Dy (0.5000, 0.6807, 0.3613)  10 Ho 3.48-3.65, 2 Dy 3.52
Dy (0.5000, 0.3193, 0.6387)  10 Ho 3.48-3.65, 2 Dy 3.52
Zn (0.0000, 0.0000, 0.0000)  8 Ho 3.16-3.17, 2 Zn 3.52

---

5.
Compound: Dy2Ho2Zn
Source: Alexandria via LeMat-Bulk
Functional: PBE
Structure: relaxed

- ΔH_f (0 K): 0.010 eV/atom
- Distance to the lowest polymorph of the same formula: 0.135 eV per atom
- Total energy: -39.2 eV/cell
- Crystal system: tetragonal

Unit cell a=4.9354 b=4.9354 c=12.6130 alpha=101.28 beta=101.28 gamma=90.00
Last column: nearest neighbours and their distance in Å.
Positions (direct):
Ho (0.0744, 0.5744, 0.1487)  2 Zn 3.06
Ho (0.6756, 0.6756, 0.3513)  2 Zn 3.06
Ho (0.3244, 0.3244, 0.6487)  2 Zn 3.06
Ho (0.4256, 0.9256, 0.8513)  2 Zn 3.06
Zn (0.5000, 0.5000, 0.0000)  4 Dy 2.98, 4 Ho 3.06
Zn (0.2500, 0.7500, 0.5000)  4 Dy 2.98, 4 Ho 3.06
Dy (0.1812, 0.1812, 0.3625)  2 Zn 2.98
Dy (0.5688, 0.0688, 0.1375)  2 Zn 2.98
Dy (0.8188, 0.8188, 0.6375)  2 Zn 2.98
Dy (0.9312, 0.4312, 0.8625)  2 Zn 2.98

---

6.
Compound: DyHo3Zn8
Source: Alexandria via LeMat-Bulk
Functional: PBE
Structure: relaxed

- ΔH_f (0 K): -0.325 eV/atom
- Distance to the lowest polymorph of the same formula: 0.008 eV per atom
- Total energy: -32.4 eV/cell
- Crystal system: trigonal

Unit cell a=5.5221 b=5.5221 c=8.6513 alpha=90.00 beta=90.00 gamma=120.00
Last column: nearest neighbours and their distance in Å.
Positions (direct):
Zn (0.6709, 0.8355, 0.2496)  6 Zn 2.70-2.80
Zn (0.5022, 0.0043, 0.7503)  6 Zn 2.70-2.80
Zn (0.3333, 0.6667, 0.0000)  6 Zn 2.70
Zn (0.9957, 0.4978, 0.7503)  6 Zn 2.70-2.80
Zn (0.5022, 0.4978, 0.7503)  6 Zn 2.70-2.80
Zn (0.1645, 0.8355, 0.2496)  6 Zn 2.70-2.80
Zn (0.3333, 0.6667, 0.5001)  6 Zn 2.70
Zn (0.1645, 0.3291, 0.2496)  6 Zn 2.70-2.80
Dy (0.0000, 0.0000, 0.5585)  12 Zn 3.10-3.23, 4 Ho 3.31-3.34
Ho (0.6667, 0.3333, 0.0589)  12 Zn 3.10-3.23, 4 Ho 3.31-3.35
Ho (0.6667, 0.3333, 0.4416)  12 Zn 3.10-3.23, 1 Ho 3.31, 3 Dy 3.34
Ho (0.0000, 0.0000, 0.9412)  12 Zn 3.10-3.23, 1 Dy 3.31, 3 Ho 3.35

---

7.
Compound: Dy2Ho3Zn3
Source: Alexandria via LeMat-Bulk
Functional: PBE
Structure: relaxed

- ΔH_f (0 K): -0.249 eV/atom
- Total energy: -28.8 eV/cell
- Crystal system: orthorhombic

Unit cell a=3.5908 b=5.1441 c=11.1297 alpha=103.36 beta=99.28 gamma=90.00
Last column: nearest neighbours and their distance in Å.
Positions (direct):
Zn (0.1147, 0.1147, 0.2294)  2 Dy 3.02, 6 Ho 3.04-3.14
Zn (0.0000, 0.5000, 0.0000)  8 Ho 3.09-3.14
Zn (0.8853, 0.8853, 0.7706)  2 Dy 3.02, 6 Ho 3.04-3.14
Dy (0.7286, 0.2286, 0.4572)  2 Zn 3.02, 4 Dy 3.27
Dy (0.2714, 0.7714, 0.5428)  2 Zn 3.02, 4 Dy 3.27
Ho (0.5000, 0.0000, 0.0000)  8 Zn 3.04-3.14
Ho (0.6179, 0.6179, 0.2357)  6 Zn 3.09-3.14
Ho (0.3821, 0.3821, 0.7643)  6 Zn 3.09-3.14

---

8.
Compound: DyHoZn
Source: Alexandria via LeMat-Bulk
Functional: PBE
Structure: relaxed

- ΔH_f (0 K): 0.023 eV/atom
- Distance to the lowest polymorph of the same formula: 0.236 eV per atom
- Total energy: -10.4 eV/cell
- Crystal system: tetragonal

Unit cell a=4.9315 b=4.9315 c=4.9289 alpha=90.08 beta=119.96 gamma=119.97
Last column: nearest neighbours and their distance in Å.
Positions (direct):
Zn (0.4444, 0.2222, 0.6667)  4 Ho 3.02, 4 Dy 3.02
Dy (0.9443, 0.9722, 0.9165)  4 Zn 3.02
Ho (0.9446, 0.4722, 0.4168)  4 Zn 3.02